Computed, not measured: MoRuPb2 at its PBEsol-relaxed geometry at the SCAN level of DFT.

The value obtained for the spin magnetization is 6.71 μB/cell. As for the excess energy over the best structure of this formula in the dataset: 297.9 meV/atom. The volume comes out at 18.41 Å³ per atom.

The structure belongs to space group Fm-3m (No. 225); the cell edges are 6.654, 6.654 and 6.654 Å and the angles 90.00°, 90.00° and 90.00°. The asymmetric unit holds Mo at (0.000, 0.000, 0.000), Ru at (0.000, 0.000, 0.500) and Pb at (0.250, 0.250, 0.250).

Computed, not measured: MoRu2Pb at its PBEsol-relaxed geometry at the SCAN level of DFT.

As for the total energy: -44.406 eV/atom. The value obtained for the spin magnetization is 0.00 μB/cell. The volume comes out at 16.30 Å³ per atom.

The structure belongs to space group R3m (No. 160, hexagonal axes); the cell edges are 2.8903, 2.8903 and 27.0342 Å and the angles 90.00°, 90.00° and 120.00°. The asymmetric unit holds Mo at (0.0000, 0.0000, 0.0000), Ru at (0.0000, 0.0000, 0.4864), Ru at (0.0000, 0.0000, 0.7441) and Pb at (0.0000, 0.0000, 0.2404).